This record from Alexandria via LeMat-Bulk describes an optimized crystal structure of ZrNiI. The functional is GGA-PBE.

Summary:
Formation energy (no corrections) (meV per atom): -125.3

abc: 6.522 6.522 6.522
angles: 32.96 32.96 32.96
Sites, in units of the cell vectors:
1 Zr 0.000 0.000 0.000
2 Ni 0.591 0.591 0.591
3 I 0.450 0.450 0.450